Record 1
First-principles (PBE-GGA) data for TlSb2MoI after structural relaxation, as listed in Alexandria via LeMat-Bulk.

abc: 5.2036 5.2036 6.1461
angles: 90.00 90.00 90.00
Space group P4/mmm (No. 123)
Unique sites:
Tl: 0.0000 0.0000 0.0000 x1
Sb: 0.0000 0.5000 0.5000 x2
Mo: 0.5000 0.5000 0.5000 x1
I: 0.5000 0.5000 0.0000 x1

Values from the calculation:
N(E_F) ... 0.597 states/eV per atom
Total moment ... 0.11 μB per atom
ΔE_f (raw) ... 293 meV/atom
ΔE to the lowest computed polymorph ... 0.000 eV per atom
Calculated total energy ... -4.305 eV per atom

---

Record 2
First-principles (PBE-GGA) data for LaPm2PuP4 after structural relaxation, as listed in Alexandria via LeMat-Bulk.

abc: 7.1537 4.1395 7.1583
angles: 90.00 109.48 90.00
Space group P2/m (No. 10)
Unique sites:
La: 0.0000 0.0000 0.0000 x1
Pm: 0.5000 0.0000 0.5000 x1
Pm: 0.5000 0.5000 0.0000 x1
Pu: 0.0000 0.5000 0.5000 x1
P: 0.2437 0.0000 0.7390 x2
P: 0.2502 0.5000 0.2587 x2

Values from the calculation:
N(E_F) ... 1.641 states/eV per atom
Total moment ... 0.61 μB per atom
Calculated total energy ... -7.737 eV per atom
Formation energy ... -1.4366 eV per atom

---

Record 3
First-principles (PBE-GGA) data for CsK2Sb6 after structural relaxation, as listed in Alexandria via LeMat-Bulk.

abc: 4.4267 11.4425 14.5481
angles: 90.00 90.00 90.00
Space group Immm (No. 71)
Unique sites:
Cs: 0.0000 0.0000 0.0000 x2
K: 0.0000 0.5000 0.1688 x4
Sb: 0.0000 0.1305 0.5000 x4
Sb: 0.0000 0.2619 0.3179 x8

Values from the calculation:
N(E_F) ... 0.214 states/eV per atom
Total moment ... 0.00 μB per atom
ΔE_f (raw) ... -216 meV/atom
Calculated total energy ... -3.303 eV per atom

---

Record 4
First-principles (PBE-GGA) data for CrInAs2 after structural relaxation, as listed in Alexandria via LeMat-Bulk.

abc: 3.9462 3.9462 10.1464
angles: 90.00 90.00 90.00
Space group I-4m2 (No. 119)
Unique sites:
Cr: 0.0000 0.0000 0.0000 x2
In: 0.0000 0.5000 0.7500 x2
As: 0.0000 0.0000 0.5000 x2
As: 0.0000 0.5000 0.2500 x2

Values from the calculation:
N(E_F) ... 0.511 states/eV per atom
Total moment ... 0.88 μB per atom
Calculated total energy ... -5.119 eV per atom
Formation energy ... 0.2959 eV per atom

---

Record 5
First-principles (PBE-GGA) data for La5CeNdY2 after structural relaxation, as listed in Alexandria via LeMat-Bulk.

abc: 8.3963 8.3963 9.2048
angles: 90.00 90.00 90.00
Space group P4/mbm (No. 127)
Unique sites:
La: 0.0000 0.0000 0.0000 x2
La: 0.1899 0.3101 0.2757 x8
Ce: 0.0000 0.5000 0.5000 x2
Nd: 0.0000 0.0000 0.5000 x2
Y: 0.1286 0.6286 0.0000 x4

Values from the calculation:
N(E_F) ... 1.974 states/eV per atom
Total moment ... 0.14 μB per atom
Calculated total energy ... -5.074 eV per atom
Formation energy ... 0.2893 eV per atom

---

Record 6
First-principles (PBE-GGA) data for P2WI after structural relaxation, as listed in Alexandria via LeMat-Bulk.

abc: 6.4690 6.4690 10.6311
angles: 90.00 90.00 90.00
Space group I-42d (No. 122)
Unique sites:
P: 0.1465 0.2500 0.1250 x8
W: 0.0000 0.0000 0.0000 x4
I: 0.0000 0.0000 0.5000 x4

Values from the calculation:
N(E_F) ... 1.535 states/eV per atom
Total moment ... 0.00 μB per atom
ΔE_f (raw) ... 539 meV/atom
ΔE to the lowest computed polymorph ... 0.000 eV per atom
Calculated total energy ... -5.792 eV per atom